Material: NiTeAs
Method: DFT, PBE-GGA
State: relaxed

The final energy is -4.735 eV per atom.

The structure belongs to space group P2_1/c (No. 14); the cell edges are 6.3575, 6.1003 and 6.3584 Å and the angles 90.00°, 105.77° and 90.00°. The asymmetric unit holds Ni at (0.2353, 0.0143, 0.2480), Te at (0.3493, 0.6290, 0.1507) and As at (0.1308, 0.1363, 0.8688).


Material: MoSeBr2
Method: DFT, PBE-GGA
State: relaxed

The final energy is -4.701 eV per atom.

The structure belongs to space group Cmmm (No. 65); the cell edges are 4.8353, 14.5885 and 3.4173 Å and the angles 90.00°, 90.00° and 90.00°. The asymmetric unit holds Mo at (0.0000, 0.0000, 0.0000), Se at (0.0000, 0.5000, 0.0000) and Br at (0.0000, 0.1363, 0.5000).


Material: Mg4H3Ir3
Method: DFT, PBE-GGA
State: relaxed

The final energy is -4.666 eV per atom.

The structure belongs to space group Cm (No. 8); the cell edges are 8.9403, 6.3984 and 6.2460 Å and the angles 90.00°, 134.30° and 90.00°. The asymmetric unit holds Mg at (0.0000, 0.2425, 0.0000), Mg at (0.4854, 0.2428, 0.4854), H at (0.2426, 0.5000, 0.2629), H at (0.2426, 0.5000, 0.7224), H at (0.2435, 0.0000, 0.2436), Ir at (0.2428, 0.0000, 0.5230), Ir at (0.2427, 0.0000, 0.9626) and Ir at (0.2426, 0.5000, 0.9927).


Material: ThMoC
Method: DFT, PBE-GGA
State: relaxed

Its formation energy is -0.10 eV/atom.

The structure belongs to space group C2/m (No. 12); the cell edges are 12.3917, 3.3601 and 5.7805 Å and the angles 90.00°, 115.01° and 90.00°. The asymmetric unit holds Th at (0.1067, 0.0000, 0.3036), Mo at (0.1589, 0.5000, 0.8364) and C at (0.2467, 0.0000, 0.7627).


Material: MnSnAsSe2
Method: DFT, PBE-GGA
State: relaxed

The final energy is -4.879 eV per atom.

The structure belongs to space group P4/mmm (No. 123); the cell edges are 4.9666, 4.9666 and 4.7172 Å and the angles 90.00°, 90.00° and 90.00°. The asymmetric unit holds Mn at (0.0000, 0.0000, 0.0000), Sn at (0.5000, 0.5000, 0.5000), As at (0.0000, 0.0000, 0.5000) and Se at (0.0000, 0.5000, 0.0000).


Material: Rb2TiAgI6
Method: DFT, PBE-GGA
State: relaxed

The final energy is -3.105 eV per atom.

The structure belongs to space group R-3m (No. 166, hexagonal axes); the cell edges are 8.2536, 8.2536 and 41.8415 Å and the angles 90.00°, 90.00° and 120.00°. The asymmetric unit holds Rb at (0.0000, 0.0000, 0.1132), Rb at (0.0000, 0.0000, 0.2969), Ti at (0.0000, 0.0000, 0.4175), Ag at (0.0000, 0.0000, 0.0000), Ag at (0.0000, 0.0000, 0.5000), I at (0.0043, 0.5022, 0.1207) and I at (0.0123, 0.5061, 0.2910).